No. 1
# La7Zn3

A relaxed structure of La7Zn3 (PBE, the Alexandria database).

Results
Energy above the most stable polymorph in this dataset, meV per atom: 0
Formation energy, meV/atom: -159.0

Unit cell a=17.253 b=5.295 c=6.921 alpha=90.00 beta=105.81 gamma=90.00
Space group C2/m (No. 12)
Asymmetric unit:
La1 0.000 0.000 0.000 [2 per cell]
La2 0.079 0.500 0.366 [4 per cell]
La3 0.144 0.500 0.929 [4 per cell]
La4 0.195 0.000 0.643 [4 per cell]
Zn1 0.000 0.000 0.500 [2 per cell]
Zn2 0.191 0.000 0.190 [4 per cell]



No. 2
# LiOF4

A relaxed structure of LiOF4 (PBE, the Alexandria database).

Results
Total energy, eV/atom: -3.27

Unit cell a=4.803 b=17.367 c=4.676 alpha=90.00 beta=105.59 gamma=90.00
Space group C2/c (No. 15)
Asymmetric unit:
Li1 0.000 0.247 0.250 [4 per cell]
O1 0.000 0.106 0.750 [4 per cell]
F1 0.132 0.301 0.615 [8 per cell]
F2 0.225 0.056 0.905 [8 per cell]



No. 3
# Hf2MgZrH

A relaxed structure of Hf2MgZrH (PBE, the Alexandria database).

Results
Energy above the most stable polymorph in this dataset, meV per atom: 43

Unit cell a=4.432 b=4.432 c=4.513 alpha=90.00 beta=90.00 gamma=90.00
Space group P4/mmm (No. 123)
Asymmetric unit:
Hf1 0.000 0.500 0.000 [2 per cell]
Mg1 0.000 0.000 0.500 [1 per cell]
Zr1 0.500 0.500 0.500 [1 per cell]
H1 0.000 0.000 0.000 [1 per cell]



No. 4
# BaNaBi2Pd

A relaxed structure of BaNaBi2Pd (PBE, the Alexandria database).

Results
Formation energy, meV/atom: -418.9

Unit cell a=5.534 b=5.534 c=5.342 alpha=90.00 beta=90.00 gamma=90.00
Space group P4/mmm (No. 123)
Asymmetric unit:
Ba1 0.000 0.000 0.000 [1 per cell]
Na1 0.500 0.500 0.000 [1 per cell]
Bi1 0.000 0.500 0.500 [2 per cell]
Pd1 0.500 0.500 0.500 [1 per cell]



No. 5
# La5Nd6Tm2

A relaxed structure of La5Nd6Tm2 (PBE, the Alexandria database).

Results
Formation energy, meV/atom: 83.3

Unit cell a=11.861 b=21.186 c=3.677 alpha=90.00 beta=90.00 gamma=90.00
Space group Pbam (No. 55)
Asymmetric unit:
La1 0.000 0.000 0.000 [2 per cell]
La2 0.085 0.271 0.000 [4 per cell]
La3 0.197 0.553 0.000 [4 per cell]
Nd1 0.064 0.418 0.500 [4 per cell]
Nd2 0.085 0.130 0.500 [4 per cell]
Nd3 0.173 0.858 0.000 [4 per cell]
Tm1 0.170 0.709 0.500 [4 per cell]



No. 6
# GaPS2Br

A relaxed structure of GaPS2Br (PBE, the Alexandria database).

Results
Energy above the most stable polymorph in this dataset, meV per atom: 0

Unit cell a=4.584 b=4.584 c=5.274 alpha=90.00 beta=90.00 gamma=90.00
Space group P4/mmm (No. 123)
Asymmetric unit:
Ga1 0.000 0.000 0.000 [1 per cell]
P1 0.000 0.000 0.500 [1 per cell]
S1 0.000 0.500 0.000 [2 per cell]
Br1 0.500 0.500 0.500 [1 per cell]



> What is the formula in the third record?

Hf2MgZrH